[1]
A plane-wave DFT calculation with GGA-PBE was carried out for a geometry-optimized Sm3Si2Ge3 structure.

It has space group Cmcm (No. 63), with a = 4.067 Å, b = 10.991 Å, c = 15.981 Å, α = 90.00°, β = 90.00° and γ = 90.00°. The distinct sites, in fractional coordinates, are Sm at (0.000, 0.085, 0.250), Sm at (0.000, 0.368, 0.089), Si at (0.000, 0.334, 0.627), Ge at (0.000, 0.085, 0.057) and Ge at (0.000, 0.188, 0.750).

As for the volume: 22.32 Å³/atom. For the formation energy (no corrections), the calculation gives -0.627 eV/atom.

[2]
A plane-wave DFT calculation with GGA-PBE was carried out for a geometry-optimized Sm2SiGe structure.

It has space group R-3m (No. 166, hexagonal axes), with a = 4.2283 Å, b = 4.2283 Å, c = 20.6310 Å, α = 90.00°, β = 90.00° and γ = 120.00°. The distinct sites, in fractional coordinates, are Sm at (0.0000, 0.0000, 0.2483), Si at (0.0000, 0.0000, 0.5000) and Ge at (0.0000, 0.0000, 0.0000).

As for the volume: 26.62 Å³/atom. For the formation energy (no corrections), the calculation gives -0.554 eV/atom.

[3]
A plane-wave DFT calculation with GGA-PBE was carried out for a geometry-optimized SmSiGe structure.

It has space group P-6m2 (No. 187), with a = 4.3123 Å, b = 4.3123 Å, c = 3.9841 Å, α = 90.00°, β = 90.00° and γ = 120.00°. The distinct sites, in fractional coordinates, are Sm at (0.0000, 0.0000, 0.0000), Si at (0.3333, 0.6667, 0.5000) and Ge at (0.6667, 0.3333, 0.5000).

As for the volume: 21.39 Å³/atom. For the formation energy (no corrections), the calculation gives -0.516 eV/atom.

[4]
A plane-wave DFT calculation with GGA-PBE was carried out for a geometry-optimized SmSiGe structure.

It has space group Pmma (No. 51), with a = 4.029 Å, b = 4.072 Å, c = 7.899 Å, α = 90.00°, β = 90.00° and γ = 90.00°. The distinct sites, in fractional coordinates, are Sm at (0.250, 0.000, 0.231), Si at (0.250, 0.500, 0.921) and Ge at (0.250, 0.500, 0.601).

As for the volume: 21.60 Å³/atom. For the formation energy (no corrections), the calculation gives -0.567 eV/atom.

[5]
A plane-wave DFT calculation with GGA-PBE was carried out for a geometry-optimized Sm5SiGe2 structure.

It has space group Pbam (No. 55), with a = 8.014 Å, b = 12.148 Å, c = 4.456 Å, α = 90.00°, β = 90.00° and γ = 90.00°. The distinct sites, in fractional coordinates, are Sm at (0.000, 0.000, 0.000), Sm at (0.154, 0.288, 0.000), Sm at (0.199, 0.574, 0.500), Si at (0.000, 0.500, 0.000) and Ge at (0.073, 0.828, 0.500).

As for the volume: 27.12 Å³/atom. For the formation energy (no corrections), the calculation gives -0.668 eV/atom.

[6]
A plane-wave DFT calculation with GGA-PBE was carried out for a geometry-optimized Sm6Si2Ge structure.

It has space group Immm (No. 71), with a = 9.650 Å, b = 9.848 Å, c = 10.241 Å, α = 90.00°, β = 90.00° and γ = 90.00°. The distinct sites, in fractional coordinates, are Sm at (0.000, 0.200, 0.243), Sm at (0.209, 0.500, 0.176), Sm at (0.231, 0.320, 0.500), Si at (0.000, 0.374, 0.000), Si at (0.000, 0.500, 0.384), Ge at (0.000, 0.000, 0.000) and Ge at (0.000, 0.000, 0.500).

As for the volume: 27.03 Å³/atom. For the formation energy (no corrections), the calculation gives -0.552 eV/atom.

[7]
A plane-wave DFT calculation with GGA-PBE was carried out for a geometry-optimized Sm2SiGe3 structure.

It has space group Fmmm (No. 69), with a = 8.035 Å, b = 8.125 Å, c = 16.323 Å, α = 90.00°, β = 90.00° and γ = 90.00°. The distinct sites, in fractional coordinates, are Sm at (0.000, 0.250, 0.000), Sm at (0.250, 0.250, 0.250), Si at (0.000, 0.000, 0.168), Ge at (0.000, 0.000, 0.322) and Ge at (0.249, 0.000, 0.082).

As for the volume: 22.20 Å³/atom. For the formation energy (no corrections), the calculation gives -0.553 eV/atom.

[8]
A plane-wave DFT calculation with GGA-PBE was carried out for a geometry-optimized Sm2SiGe structure.

It has space group P2_1/m (No. 11), with a = 5.870 Å, b = 3.969 Å, c = 8.561 Å, α = 90.00°, β = 107.36° and γ = 90.00°. The distinct sites, in fractional coordinates, are Sm at (0.206, 0.250, 0.429), Sm at (0.288, 0.750, 0.068), Si at (0.133, 0.250, 0.789) and Ge at (0.368, 0.750, 0.711).

As for the volume: 23.80 Å³/atom. For the formation energy (no corrections), the calculation gives -0.821 eV/atom.

[9]
A plane-wave DFT calculation with GGA-PBE was carried out for a geometry-optimized Sm4Si3Ge structure.

It has space group Pmm2 (No. 25), with a = 3.936 Å, b = 4.407 Å, c = 10.843 Å, α = 90.00°, β = 90.00° and γ = 90.00°. The distinct sites, in fractional coordinates, are Sm at (0.000, 0.000, 0.000), Sm at (0.000, 0.500, 0.497), Sm at (0.500, 0.000, 0.718), Sm at (0.500, 0.500, 0.219), Si at (0.000, 0.000, 0.285), Si at (0.500, 0.000, 0.433), Si at (0.500, 0.500, 0.937) and Ge at (0.000, 0.500, 0.781).

As for the volume: 23.51 Å³/atom. For the formation energy (no corrections), the calculation gives -0.805 eV/atom.

[10]
A plane-wave DFT calculation with GGA-PBE was carried out for a geometry-optimized Sm6Si3Ge structure.

It has space group P2_1/c (No. 14), with a = 6.120 Å, b = 8.183 Å, c = 12.688 Å, α = 90.00°, β = 118.70° and γ = 90.00°. The distinct sites, in fractional coordinates, are Sm at (0.045, 0.176, 0.419), Sm at (0.292, 0.673, 0.419), Sm at (0.378, 0.041, 0.249), Si at (0.000, 0.000, 0.000), Si at (0.158, 0.118, 0.750) and Ge at (0.500, 0.000, 0.500).

As for the volume: 27.87 Å³/atom. For the formation energy (no corrections), the calculation gives -0.526 eV/atom.

[11]
A plane-wave DFT calculation with GGA-PBE was carried out for a geometry-optimized Sm8SiGe2 structure.

It has space group C2/m (No. 12), with a = 19.158 Å, b = 4.886 Å, c = 6.828 Å, α = 90.00°, β = 101.68° and γ = 90.00°. The distinct sites, in fractional coordinates, are Sm at (0.026, 0.000, 0.277), Sm at (0.091, 0.500, 0.966), Sm at (0.160, 0.500, 0.503), Sm at (0.215, 0.000, 0.838), Si at (0.000, 0.500, 0.500) and Ge at (0.184, 0.000, 0.263).

As for the volume: 28.45 Å³/atom. For the formation energy (no corrections), the calculation gives -0.401 eV/atom.

[12]
A plane-wave DFT calculation with GGA-PBE was carried out for a geometry-optimized Sm4Si2Ge5 structure.

It has space group P2/m (No. 10), with a = 6.970 Å, b = 4.259 Å, c = 8.149 Å, α = 90.00°, β = 91.93° and γ = 90.00°. The distinct sites, in fractional coordinates, are Sm at (0.230, 0.000, 0.369), Sm at (0.246, 0.000, 0.887), Si at (0.088, 0.500, 0.126), Ge at (0.125, 0.500, 0.626), Ge at (0.443, 0.500, 0.156) and Ge at (0.500, 0.500, 0.500).

As for the volume: 21.98 Å³/atom. For the formation energy (no corrections), the calculation gives -0.706 eV/atom.

[13]
A plane-wave DFT calculation with GGA-PBE was carried out for a geometry-optimized SmSiGe structure.

It has space group Cmc2_1 (No. 36), with a = 4.115 Å, b = 16.004 Å, c = 4.057 Å, α = 90.00°, β = 90.00° and γ = 90.00°. The distinct sites, in fractional coordinates, are Sm at (0.000, 0.104, 0.000), Si at (0.000, 0.286, 0.998) and Ge at (0.000, 0.442, 0.000).

As for the volume: 22.27 Å³/atom. For the formation energy (no corrections), the calculation gives -0.355 eV/atom.

[14]
A plane-wave DFT calculation with GGA-PBE was carried out for a geometry-optimized Sm7Si2Ge2 structure.

It has space group Cmmm (No. 65), with a = 7.771 Å, b = 10.913 Å, c = 7.258 Å, α = 90.00°, β = 90.00° and γ = 90.00°. The distinct sites, in fractional coordinates, are Sm at (0.000, 0.000, 0.000), Sm at (0.000, 0.500, 0.262), Sm at (0.250, 0.250, 0.287), Si at (0.160, 0.000, 0.500) and Ge at (0.000, 0.288, 0.000).

As for the volume: 27.98 Å³/atom. For the formation energy (no corrections), the calculation gives -0.332 eV/atom.

[15]
A plane-wave DFT calculation with GGA-PBE was carried out for a geometry-optimized Sm2Si2Ge structure.

It has space group C2/m (No. 12), with a = 10.829 Å, b = 4.268 Å, c = 10.706 Å, α = 90.00°, β = 116.98° and γ = 90.00°. The distinct sites, in fractional coordinates, are Sm at (0.101, 0.000, 0.402), Sm at (0.203, 0.500, 0.141), Si at (0.027, 0.000, 0.907), Si at (0.119, 0.500, 0.603) and Ge at (0.066, 0.500, 0.809).

As for the volume: 22.05 Å³/atom. For the formation energy (no corrections), the calculation gives -0.651 eV/atom.

[16]
A plane-wave DFT calculation with GGA-PBE was carried out for a geometry-optimized Sm4SiGe3 structure.

It has space group Pmm2 (No. 25), with a = 4.002 Å, b = 4.412 Å, c = 10.919 Å, α = 90.00°, β = 90.00° and γ = 90.00°. The distinct sites, in fractional coordinates, are Sm at (0.000, 0.000, 0.000), Sm at (0.000, 0.500, 0.496), Sm at (0.500, 0.000, 0.721), Sm at (0.500, 0.500, 0.221), Si at (0.000, 0.000, 0.280), Ge at (0.000, 0.500, 0.777), Ge at (0.500, 0.000, 0.438) and Ge at (0.500, 0.500, 0.941).

As for the volume: 24.10 Å³/atom. For the formation energy (no corrections), the calculation gives -0.842 eV/atom.

[17]
A plane-wave DFT calculation with GGA-PBE was carried out for a geometry-optimized Sm4SiGe structure.

It has space group P2_1/m (No. 11), with a = 6.288 Å, b = 6.480 Å, c = 8.690 Å, α = 90.00°, β = 110.21° and γ = 90.00°. The distinct sites, in fractional coordinates, are Sm at (0.001, 0.000, 0.255), Sm at (0.412, 0.250, 0.103), Sm at (0.415, 0.250, 0.604), Si at (0.246, 0.750, 0.562) and Ge at (0.235, 0.750, 0.058).

As for the volume: 27.69 Å³/atom. For the formation energy (no corrections), the calculation gives -0.555 eV/atom.

[18]
A plane-wave DFT calculation with GGA-PBE was carried out for a geometry-optimized Sm3SiGe2 structure.

It has space group Pnma (No. 62), with a = 11.829 Å, b = 4.164 Å, c = 11.864 Å, α = 90.00°, β = 90.00° and γ = 90.00°. The distinct sites, in fractional coordinates, are Sm at (0.061, 0.250, 0.122), Sm at (0.116, 0.750, 0.556), Sm at (0.210, 0.250, 0.793), Si at (0.131, 0.250, 0.371), Ge at (0.020, 0.750, 0.307) and Ge at (0.192, 0.750, 0.993).

As for the volume: 24.35 Å³/atom. For the formation energy (no corrections), the calculation gives -0.747 eV/atom.

[19]
A plane-wave DFT calculation with GGA-PBE was carried out for a geometry-optimized Sm5Si5Ge2 structure.

It has space group C2/m (No. 12), with a = 14.727 Å, b = 4.103 Å, c = 11.484 Å, α = 90.00°, β = 129.12° and γ = 90.00°. The distinct sites, in fractional coordinates, are Sm at (0.000, 0.000, 0.000), Sm at (0.133, 0.500, 0.836), Sm at (0.183, 0.500, 0.573), Si at (0.000, 0.000, 0.500), Si at (0.055, 0.000, 0.321), Si at (0.212, 0.500, 0.149) and Ge at (0.117, 0.500, 0.262).

As for the volume: 22.43 Å³/atom. For the formation energy (no corrections), the calculation gives -0.623 eV/atom.

[20]
A plane-wave DFT calculation with GGA-PBE was carried out for a geometry-optimized Sm6Si2Ge structure.

It has space group P2_1/c (No. 14), with a = 6.253 Å, b = 8.182 Å, c = 11.669 Å, α = 90.00°, β = 121.65° and γ = 90.00°. The distinct sites, in fractional coordinates, are Sm at (0.080, 0.169, 0.440), Sm at (0.312, 0.682, 0.437), Sm at (0.402, 0.041, 0.268), Si at (0.176, 0.119, 0.750) and Ge at (0.000, 0.000, 0.000).

As for the volume: 28.24 Å³/atom. For the formation energy (no corrections), the calculation gives -0.450 eV/atom.